Computed, not measured: a geometry-optimized TaNbSe2 structure at the PBEsol level of DFT.

The structure belongs to space group R-3m (No. 166, hexagonal axes); the cell edges are 3.1606, 3.1606 and 26.3691 Å and the angles 90.00°, 90.00° and 120.00°. The distinct sites, in fractional coordinates, are Ta at (0.0000, 0.0000, 0.0000), Nb at (0.0000, 0.0000, 0.5000) and Se at (0.0000, 0.0000, 0.4024).

The raw formation energy is -0.244 eV/atom. The total magnetization comes out at 0.00 μB/f.u.

---

Computed, not measured: a geometry-optimized TaCu2Rh structure at the PBEsol level of DFT.

The structure belongs to space group Cmmm (No. 65); the cell edges are 5.0242, 7.8075 and 2.7665 Å and the angles 90.00°, 90.00° and 90.00°. The distinct sites, in fractional coordinates, are Ta at (0.0000, 0.0000, 0.0000), Cu at (0.2500, 0.2500, 0.5000) and Rh at (0.0000, 0.5000, 0.0000).

The calculation puts the formation energy at 0.01 eV per atom. The total magnetization comes out at 0.00 μB/f.u.

---

Computed, not measured: a geometry-optimized LiAg2As structure at the PBEsol level of DFT.

The structure belongs to space group P4/mmm (No. 123); the cell edges are 4.0428, 4.0428 and 3.9057 Å and the angles 90.00°, 90.00° and 90.00°. The distinct sites, in fractional coordinates, are Li at (0.0000, 0.0000, 0.0000), Ag at (0.0000, 0.5000, 0.5000) and As at (0.5000, 0.5000, 0.0000).

The calculation puts the formation energy at -0.20 eV per atom. The total magnetization comes out at 0.00 μB/f.u.

---

Computed, not measured: a geometry-optimized Mn3TlAu structure at the PBEsol level of DFT.

The structure belongs to space group Pm-3m (No. 221); the cell edges are 4.8939, 4.8939 and 4.8939 Å and the angles 90.00°, 90.00° and 90.00°. The distinct sites, in fractional coordinates, are Mn at (0.0000, 0.0000, 0.5000), Tl at (0.5000, 0.5000, 0.5000) and Au at (0.0000, 0.0000, 0.0000).

The calculation puts the formation energy at 1.04 eV per atom. The total magnetization comes out at 12.79 μB/f.u.

---

Computed, not measured: a geometry-optimized KY3Br structure at the PBEsol level of DFT.

The structure belongs to space group Pm-3m (No. 221); the cell edges are 5.5122, 5.5122 and 5.5122 Å and the angles 90.00°, 90.00° and 90.00°. The distinct sites, in fractional coordinates, are K at (0.0000, 0.0000, 0.0000), Y at (0.0000, 0.5000, 0.5000) and Br at (0.5000, 0.5000, 0.5000).

The raw formation energy is 0.061 eV/atom. The total magnetization comes out at 0.00 μB/f.u.

---

Computed, not measured: a geometry-optimized RbCuBi3 structure at the PBEsol level of DFT.

The structure belongs to space group Pm-3m (No. 221); the cell edges are 5.3689, 5.3689 and 5.3689 Å and the angles 90.00°, 90.00° and 90.00°. The distinct sites, in fractional coordinates, are Rb at (0.0000, 0.0000, 0.0000), Cu at (0.5000, 0.5000, 0.5000) and Bi at (0.0000, 0.5000, 0.5000).

The calculation puts the formation energy at 0.10 eV per atom. The total magnetization comes out at 0.00 μB/f.u.

---

Computed, not measured: a geometry-optimized KSO2F structure at the PBEsol level of DFT.

The structure belongs to space group P2_1 (No. 4); the cell edges are 4.6829, 5.5750 and 6.8626 Å and the angles 90.00°, 107.59° and 90.00°. The distinct sites, in fractional coordinates, are K at (0.1487, 0.0000, 0.2901), S at (0.4507, 0.9771, 0.8398), O at (0.2226, 0.5072, 0.1157), O at (0.3345, 0.7870, 0.6864) and F at (0.3276, 0.2336, 0.6782).

The raw formation energy is -1.831 eV/atom. The total magnetization comes out at 0.00 μB/f.u.

---

Computed, not measured: a geometry-optimized Sn5B2Ir6 structure at the PBEsol level of DFT.

The structure belongs to space group P-62m (No. 189); the cell edges are 6.6340, 6.6340 and 5.5863 Å and the angles 90.00°, 90.00° and 120.00°. The distinct sites, in fractional coordinates, are Sn at (0.0000, 0.4035, 0.0000), Sn at (0.3333, 0.6667, 0.5000), B at (0.0000, 0.0000, 0.0000), B at (0.0000, 0.0000, 0.5000) and Ir at (0.0000, 0.7463, 0.2547).

The calculation puts the formation energy at -0.30 eV per atom. The total magnetization comes out at 0.00 μB/f.u.

---

Computed, not measured: a geometry-optimized KCaRe structure at the PBEsol level of DFT.

The structure belongs to space group F-43m (No. 216); the cell edges are 7.0040, 7.0040 and 7.0040 Å and the angles 90.00°, 90.00° and 90.00°. The distinct sites, in fractional coordinates, are K at (0.0000, 0.0000, 0.0000), Ca at (0.2500, 0.2500, 0.7500) and Re at (0.2500, 0.2500, 0.2500).

The calculation puts the formation energy at 2.26 eV per atom. The total magnetization comes out at 2.30 μB/f.u. Its offset from the most stable computed form is 1001 meV/atom.

---

Computed, not measured: a geometry-optimized ZrScAl4 structure at the PBEsol level of DFT.

The structure belongs to space group F-43m (No. 216); the cell edges are 7.4867, 7.4867 and 7.4867 Å and the angles 90.00°, 90.00° and 90.00°. The distinct sites, in fractional coordinates, are Zr at (0.0000, 0.0000, 0.0000), Sc at (0.2500, 0.2500, 0.2500) and Al at (0.1251, 0.1251, 0.6251).

The calculation puts the formation energy at -0.51 eV per atom. The total magnetization comes out at 0.00 μB/f.u.

---

Computed, not measured: a geometry-optimized Hf2BeGaP structure at the PBEsol level of DFT.

The structure belongs to space group P4/mmm (No. 123); the cell edges are 4.8121, 4.8121 and 3.8852 Å and the angles 90.00°, 90.00° and 90.00°. The distinct sites, in fractional coordinates, are Hf at (0.0000, 0.5000, 0.0000), Be at (0.0000, 0.0000, 0.5000), Ga at (0.5000, 0.5000, 0.5000) and P at (0.0000, 0.0000, 0.0000).

The calculation puts the formation energy at -0.09 eV per atom. The total magnetization comes out at 0.00 μB/f.u.

---

Computed, not measured: a geometry-optimized TaTcMo2 structure at the PBEsol level of DFT.

The structure belongs to space group Immm (No. 71); the cell edges are 3.1428, 4.4042 and 8.9551 Å and the angles 90.00°, 90.00° and 90.00°. The distinct sites, in fractional coordinates, are Ta at (0.0000, 0.0000, 0.0000), Tc at (0.0000, 0.0000, 0.5000) and Mo at (0.0000, 0.5000, 0.2489).

The calculation puts the formation energy at -0.15 eV per atom. The total magnetization comes out at 0.00 μB/f.u. Its offset from the most stable computed form is 16 meV/atom.

---

Computed, not measured: a geometry-optimized Zr2Sc structure at the PBEsol level of DFT.

The structure belongs to space group P-3m1 (No. 164); the cell edges are 3.1635, 3.1635 and 7.7587 Å and the angles 90.00°, 90.00° and 120.00°. The distinct sites, in fractional coordinates, are Zr at (0.3333, 0.6667, 0.3374) and Sc at (0.0000, 0.0000, 0.0000).

The calculation puts the formation energy at 0.04 eV per atom. The total magnetization comes out at 0.00 μB/f.u.

---

Computed, not measured: a geometry-optimized TcTeCl2 structure at the PBEsol level of DFT.

The structure belongs to space group Imm2 (No. 44); the cell edges are 3.1071, 4.6218 and 11.6848 Å and the angles 90.00°, 90.00° and 90.00°. The distinct sites, in fractional coordinates, are Tc at (0.0000, 0.0000, 0.0000), Te at (0.0000, 0.5000, 0.6739), Cl at (0.0000, 0.0000, 0.4956) and Cl at (0.0000, 0.5000, 0.3232).

The raw formation energy is 0.071 eV/atom. The total magnetization comes out at 0.00 μB/f.u. Its offset from the most stable computed form is 0 meV/atom.

---

Computed, not measured: a geometry-optimized CaLaRu structure at the PBEsol level of DFT.

The structure belongs to space group Fmm2 (No. 42); the cell edges are 4.5569, 5.1590 and 13.7422 Å and the angles 90.00°, 90.00° and 90.00°. The distinct sites, in fractional coordinates, are Ca at (0.0000, 0.0000, 0.0000), La at (0.0000, 0.0000, 0.7530) and Ru at (0.0000, 0.0000, 0.3657).

The calculation puts the formation energy at 0.01 eV per atom. The total magnetization comes out at 0.00 μB/f.u. Its offset from the most stable computed form is 0 meV/atom.

---

Computed, not measured: a geometry-optimized CdSnSe2 structure at the PBEsol level of DFT.

The structure belongs to space group R-3m (No. 166, hexagonal axes); the cell edges are 3.9950, 3.9950 and 24.4557 Å and the angles 90.00°, 90.00° and 120.00°. The distinct sites, in fractional coordinates, are Cd at (0.0000, 0.0000, 0.0000), Sn at (0.0000, 0.0000, 0.5000) and Se at (0.0000, 0.0000, 0.3930).

The raw formation energy is -0.036 eV/atom. The total magnetization comes out at 0.00 μB/f.u.

---

Computed, not measured: a geometry-optimized HfMg2ScMo structure at the PBEsol level of DFT.

The structure belongs to space group P4/mmm (No. 123); the cell edges are 5.2627, 5.2627 and 4.6197 Å and the angles 90.00°, 90.00° and 90.00°. The distinct sites, in fractional coordinates, are Hf at (0.0000, 0.0000, 0.0000), Mg at (0.0000, 0.5000, 0.0000), Sc at (0.5000, 0.5000, 0.5000) and Mo at (0.0000, 0.0000, 0.5000).

The calculation puts the formation energy at 1.24 eV per atom. The total magnetization comes out at 0.69 μB/f.u.

---

Computed, not measured: a geometry-optimized Nd2CuO4 structure at the PBEsol level of DFT.

The structure belongs to space group I4/mmm (No. 139); the cell edges are 3.9170, 3.9170 and 12.1605 Å and the angles 90.00°, 90.00° and 90.00°. The distinct sites, in fractional coordinates, are Nd at (0.0000, 0.0000, 0.1491), Cu at (0.0000, 0.0000, 0.5000), O at (0.0000, 0.5000, 0.0000) and O at (0.0000, 0.5000, 0.2500).

The raw formation energy is -2.615 eV/atom. The total magnetization comes out at 0.00 μB/f.u. Its offset from the most stable computed form is 0 meV/atom.

---

Computed, not measured: a geometry-optimized Zr2CrAu2 structure at the PBEsol level of DFT.

The structure belongs to space group I4/mmm (No. 139); the cell edges are 3.6631, 3.6631 and 14.9886 Å and the angles 90.00°, 90.00° and 90.00°. The distinct sites, in fractional coordinates, are Zr at (0.0000, 0.0000, 0.0965), Cr at (0.0000, 0.0000, 0.5000) and Au at (0.0000, 0.5000, 0.2500).

The calculation puts the formation energy at 0.31 eV per atom. The total magnetization comes out at 1.54 μB/f.u.

---

Computed, not measured: a geometry-optimized Mg3Au structure at the PBEsol level of DFT.

The structure belongs to space group P-6m2 (No. 187); the cell edges are 3.1943, 3.1943 and 9.2368 Å and the angles 90.00°, 90.00° and 120.00°. The distinct sites, in fractional coordinates, are Mg at (0.0000, 0.0000, 0.0000), Mg at (0.6667, 0.3333, 0.2776) and Au at (0.0000, 0.0000, 0.5000).

The calculation puts the formation energy at -0.20 eV per atom. The total magnetization comes out at 0.00 μB/f.u. Its offset from the most stable computed form is 221 meV/atom.